1.
Below is GaW2C after structural relaxation, with properties calculated at the PBE-GGA level.

Properties
**Total energy**: -8.381 eV per atom
**Formation energy from the elements**: 111.7 kJ per mole of atoms
**Crystal system**: cubic
**Energy relative to the lowest polymorph listed for this composition**: 1064.3 meV per atom

Geometry as extended XYZ:
```
4
Lattice="0.000 2.966 2.966 2.966 0.000 2.966 2.966 2.966 0.000" Properties=species:S:1:pos:R:3 pbc="T T T"
Ga 0.000 0.000 0.000
W 1.483 1.483 1.483
W 4.448 4.448 4.448
C 2.966 2.966 2.966
```



2.
Below is GaW2C after structural relaxation, with properties calculated at the PBE-GGA level.

Properties
**Total energy**: -9.445 eV per atom
**Formation energy from the elements**: 9.1 kJ per mole of atoms
**Crystal system**: trigonal
**Energy relative to the lowest polymorph listed for this composition**: 0.0 meV per atom

Geometry as extended XYZ:
```
4
Lattice="1.513 0.874 6.772 -1.513 0.874 6.772 0.000 -1.747 6.772" Properties=species:S:1:pos:R:3 pbc="T T T"
Ga 0.000 0.000 0.000
W 0.000 0.000 11.403
W 0.000 0.000 15.711
C 0.000 0.000 3.394
```



3.
Below is ZnGa2WC after structural relaxation, with properties calculated at the PBE-GGA level.

Properties
**Total energy**: -3.830 eV per atom
**Formation energy from the elements**: 199.8 kJ per mole of atoms
**Crystal system**: tetragonal

Geometry as extended XYZ:
```
5
Lattice="4.968 0.000 0.000 0.000 4.968 0.000 0.000 0.000 4.994" Properties=species:S:1:pos:R:3 pbc="T T T"
Zn 0.000 0.000 0.000
Ga 0.000 2.484 2.497
Ga 2.484 0.000 2.497
W 0.000 0.000 2.497
C 2.484 2.484 0.000
```



4.
Below is YGaC after structural relaxation, with properties calculated at the PBE-GGA level.

Properties
**Total energy**: -6.372 eV per atom
**Formation energy from the elements**: -12.9 kJ per mole of atoms
**Crystal system**: tetragonal

Geometry as extended XYZ:
```
6
Lattice="-1.834 1.834 8.506 1.834 -1.834 8.506 1.834 1.834 -8.506" Properties=species:S:1:pos:R:3 pbc="T T T"
Y 0.000 0.000 3.075
Y 0.000 0.000 13.937
Ga 0.000 0.000 7.356
Ga 0.000 0.000 9.656
C 0.000 0.000 5.462
C 0.000 0.000 11.550
```



5.
Below is YGa2C2 after structural relaxation, with properties calculated at the PBE-GGA level.

Properties
**Total energy**: -5.551 eV per atom
**Formation energy from the elements**: 61.9 kJ per mole of atoms
**Crystal system**: tetragonal
**Energy relative to the lowest polymorph listed for this composition**: 0.0 meV per atom

Geometry as extended XYZ:
```
5
Lattice="-1.779 1.779 5.461 1.779 -1.779 5.461 1.779 1.779 -5.461" Properties=species:S:1:pos:R:3 pbc="T T T"
Y 0.000 0.000 0.000
Ga 1.779 0.000 2.731
Ga 0.000 1.779 2.731
C 0.000 0.000 3.942
C 0.000 0.000 6.980
```



6.
Below is Y4GaC after structural relaxation, with properties calculated at the PBE-GGA level.

Properties
**Total energy**: -6.611 eV per atom
**Formation energy from the elements**: -25.1 kJ per mole of atoms
**Crystal system**: monoclinic

Geometry as extended XYZ:
```
12
Lattice="4.134 -7.078 0.000 4.134 7.078 0.000 -3.446 0.000 5.229" Properties=species:S:1:pos:R:3 pbc="T T T"
Y 0.032 4.241 4.432
Y -0.490 0.656 3.663
Y 1.233 -0.656 1.049
Y 3.067 4.241 3.411
Y 1.755 -4.241 1.818
Y 3.589 0.656 4.180
Y 5.312 -0.656 1.565
Y 4.790 -4.241 0.796
Ga 3.273 1.693 1.307
Ga 1.550 -1.693 3.921
C 1.550 6.072 3.921
C 3.273 -6.072 1.307
```